(1)
First-principles (PBE-GGA) data for a relaxed structure of InSbP, as listed in Alexandria.

a b c (Å): 4.411 3.203 11.464
angles (deg): 90.00 100.49 90.00
Positions (direct):
In  0.000  0.000  0.000
In  0.419  0.500  0.820
Sb  0.172  0.000  0.379
Sb  0.596  0.000  0.190
P  0.764  0.000  0.538
P  0.847  0.500  0.667

For the magnetic moment, the calculation gives 0.00 μB per atom. As for the formation energy without anion corrections: 0.059 eV/atom. For the energy above the most stable polymorph in this dataset, the calculation gives 0.18 eV/f.u. The value obtained for the density of states at the Fermi level is 2.0 states/eV/cell.

***

(2)
First-principles (PBE-GGA) data for a relaxed structure of SbPbW2, as listed in Alexandria.

a b c (Å): 3.276 3.276 8.385
angles (deg): 90.00 90.00 90.00
Positions (direct):
Sb  0.000  0.000  0.000
Pb  0.500  0.500  0.629
W  0.000  0.000  0.376
W  0.500  0.500  0.217

For the magnetic moment, the calculation gives 0.00 μB per atom. As for the formation energy without anion corrections: 0.378 eV/atom. For the energy above the most stable polymorph in this dataset, the calculation gives 0.00 eV/f.u. The value obtained for the density of states at the Fermi level is 3.1 states/eV/cell.

***

(3)
First-principles (PBE-GGA) data for a relaxed structure of InPtCl2, as listed in Alexandria.

a b c (Å): 3.794 3.794 8.871
angles (deg): 90.00 90.00 124.24
Positions (direct):
In  0.000  0.000  0.000
Pt  0.500  0.500  0.783
Cl  0.000  0.000  0.593
Cl  0.500  0.500  0.215

For the magnetic moment, the calculation gives 0.12 μB per atom. As for the formation energy without anion corrections: -0.246 eV/atom. For the energy above the most stable polymorph in this dataset, the calculation gives 0.76 eV/f.u. The value obtained for the density of states at the Fermi level is 3.8 states/eV/cell.

***

(4)
First-principles (PBE-GGA) data for a relaxed structure of LiEr2Ir2, as listed in Alexandria.

a b c (Å): 5.394 5.394 5.394
angles (deg): 134.68 114.29 83.43
Positions (direct):
Li  0.000  0.000  0.000
Er  0.294  0.794  0.500
Er  0.706  0.206  0.500
Ir  0.273  0.500  0.773
Ir  0.727  0.500  0.227

For the magnetic moment, the calculation gives 0.00 μB per atom. The formation energy is -0.714 eV/atom. For the energy above the most stable polymorph in this dataset, the calculation gives 0.00 eV/f.u. The value obtained for the density of states at the Fermi level is 2.5 states/eV/cell.

***

(5)
First-principles (PBE-GGA) data for a relaxed structure of RbCuW3, as listed in Alexandria.

a b c (Å): 4.666 4.666 4.666
angles (deg): 90.00 90.00 90.00
Positions (direct):
Rb  0.000  0.000  0.000
Cu  0.500  0.500  0.500
W  0.000  0.000  0.500
W  0.000  0.500  0.000
W  0.500  0.000  0.000

For the magnetic moment, the calculation gives 0.00 μB per atom. The formation energy is 4.039 eV/atom. For the energy above the most stable polymorph in this dataset, the calculation gives 7.27 eV/f.u. The value obtained for the density of states at the Fermi level is 3.8 states/eV/cell.

***

(6)
First-principles (PBE-GGA) data for a relaxed structure of YNp4As5, as listed in Alexandria.

a b c (Å): 10.921 10.921 10.921
angles (deg): 158.49 149.20 37.88
Positions (direct):
Y  0.000  0.000  0.000
Np  0.201  0.201  0.000
Np  0.401  0.401  0.000
Np  0.599  0.599  0.000
Np  0.799  0.799  0.000
As  0.101  0.601  0.500
As  0.301  0.801  0.500
As  0.500  0.000  0.500
As  0.699  0.199  0.500
As  0.899  0.399  0.500

For the magnetic moment, the calculation gives 0.00 μB per atom. The formation energy is -0.827 eV/atom. The value obtained for the density of states at the Fermi level is 37.1 states/eV/cell.

***

(7)
First-principles (PBE-GGA) data for a relaxed structure of SrMgAg2I6, as listed in Alexandria.

a b c (Å): 10.767 10.767 8.209
angles (deg): 104.59 104.59 84.02
Positions (direct):
Sr  0.112  0.888  0.750
Sr  0.888  0.112  0.250
Mg  0.180  0.820  0.250
Mg  0.820  0.180  0.750
Ag  0.384  0.502  0.857
Ag  0.498  0.616  0.643
Ag  0.502  0.384  0.357
Ag  0.616  0.498  0.143
I  0.054  0.185  0.662
I  0.141  0.643  0.939
I  0.185  0.054  0.162
I  0.280  0.447  0.489
I  0.357  0.859  0.561
I  0.447  0.280  0.989
I  0.553  0.720  0.011
I  0.643  0.141  0.439
I  0.720  0.553  0.511
I  0.815  0.946  0.838
I  0.859  0.357  0.061
I  0.946  0.815  0.338

For the magnetic moment, the calculation gives 0.00 μB per atom. As for the formation energy without anion corrections: -0.880 eV/atom. The value obtained for the density of states at the Fermi level is 0.0 states/eV/cell.

***

(8)
First-principles (PBE-GGA) data for a relaxed structure of Ba2Bi2Pb, as listed in Alexandria.

a b c (Å): 9.801 9.801 4.229
angles (deg): 90.00 90.00 90.00
Positions (direct):
Ba  0.131  0.369  0.000
Ba  0.369  0.869  0.000
Ba  0.631  0.131  0.000
Ba  0.869  0.631  0.000
Bi  0.173  0.673  0.500
Bi  0.327  0.173  0.500
Bi  0.673  0.827  0.500
Bi  0.827  0.327  0.500
Pb  0.000  0.000  0.000
Pb  0.500  0.500  0.000

For the magnetic moment, the calculation gives 0.00 μB per atom. The formation energy is -0.396 eV/atom. For the energy above the most stable polymorph in this dataset, the calculation gives 1.56 eV/f.u. The value obtained for the density of states at the Fermi level is 6.7 states/eV/cell.

***

no.,volume (Å³ per atom)
1,26.5
2,22.5
3,26.4
4,19.6
5,20.3
6,24.4
7,44.5
8,40.6